(1)
VASP calculation (PBE) on a relaxed structure of TmIn2Bi.

The structure in POSCAR format:
```
TmIn2Bi
1.0
4.7586 0.0000 0.0000
0.0000 4.7507 0.0000
0.0000 0.0000 4.7507
Tm Bi In
1 1 2
Cartesian
2.3793 2.3753 2.3753
2.3793 0.0000 0.0000
0.0000 0.0000 2.3753
0.0000 2.3753 0.0000
```

- V (A^3/atom) = 26.8
- symmetry = No. 123
- energy of formation (eV per formula unit) = -1.23
- final energy (eV per cell) = -15.06

(2)
VASP calculation (PBE) on a relaxed structure of TmInBi2.

The structure in POSCAR format:
```
TmInBi2
1.0
-1.9020 -1.5028 4.0475
0.1118 -4.5867 1.0991
5.4478 -1.1210 4.8935
Tm In Bi
1 1 2
Cartesian
-1.1743 -4.0568 3.4411
1.8661 -3.5996 5.0396
4.0364 -1.3332 4.1514
0.7582 -1.8261 2.4279
```

- V (A^3/atom) = 33.2
- polymorph energy (0 for the lowest one) (meV/atom) = 151
- symmetry = No. 160
- energy of formation (eV per formula unit) = -0.74
- final energy (eV per cell) = -15.71

(3)
VASP calculation (PBE) on a relaxed structure of Tm8InBi2.

The structure in POSCAR format:
```
Tm8InBi2
1.0
5.8960 -0.1197 -0.1796
-1.1707 8.0981 -0.5325
-1.1707 -3.6104 7.2683
Tm In Bi
8 1 2
Cartesian
3.1204 4.7770 4.3120
3.1204 2.1395 6.0693
0.3391 2.6700 4.0075
1.7773 5.3522 1.1673
1.7773 -0.9841 5.3889
3.2155 1.6980 2.5486
0.4341 2.2285 0.4869
0.4341 -0.4090 2.2441
2.9480 -0.0598 -0.0898
-1.1707 -0.0567 4.9006
-1.1707 4.5444 1.8351
```

- V (A^3/atom) = 30.2
- symmetry = No. 12
- energy of formation (eV per formula unit) = -2.22
- final energy (eV per cell) = -48.49

(4)
VASP calculation (PBE) on a relaxed structure of Tm10In3Bi3.

The structure in POSCAR format:
```
Tm10In3Bi3
1.0
6.4945 0.0000 0.0000
0.0000 7.7398 -4.4686
0.0000 0.0000 8.9371
Tm In Bi
10 3 3
Cartesian
1.5731 5.1598 0.0000
1.5731 2.5799 4.4686
4.9215 2.5799 4.4686
4.9215 5.1598 0.0000
3.2473 0.0000 6.8466
3.2473 5.9293 -3.4233
3.2473 1.8104 1.0453
0.0000 0.0000 2.1019
0.0000 1.8203 -1.0510
0.0000 5.9195 3.4176
0.0000 0.0000 5.4158
0.0000 4.6902 -2.7079
0.0000 3.0496 1.7607
3.2473 0.0000 3.5498
3.2473 3.0742 -1.7749
3.2473 4.6655 2.6936
```

- V (A^3/atom) = 28.1
- symmetry = No. 189
- energy of formation (eV per formula unit) = -8.37
- final energy (eV per cell) = -72.94

(5)
VASP calculation (PBE) on a relaxed structure of Tm5In2Bi2.

The structure in POSCAR format:
```
Tm5In2Bi2
1.0
-2.3477 7.7597 0.2140
-3.5620 -0.8785 -7.2240
-4.8623 -1.6681 7.1439
Tm In Bi
10 4 4
Cartesian
0.0000 0.0000 0.0000
-2.9548 3.4406 -3.5050
-6.0931 5.3204 -3.7144
-3.3309 0.4460 -1.4272
-5.5022 1.2968 -5.0036
-3.9219 4.4696 -0.1380
-4.6789 -0.1073 3.8483
-7.4411 4.7671 1.5610
-5.2698 3.9163 5.1375
-6.8501 0.7435 0.2719
-4.5752 4.1293 -6.1420
-1.3344 2.7519 -0.8681
-2.5544 0.4584 -4.5312
-3.3553 6.4228 -2.4788
-2.7394 -0.8690 1.4564
-5.6942 2.5716 -2.0486
-5.6849 -1.6776 -1.5365
-5.0778 2.6415 2.1825
```

- V (A^3/atom) = 28.5
- polymorph energy (0 for the lowest one) (meV/atom) = 0
- symmetry = No. 64
- energy of formation (eV per formula unit) = -5.27
- final energy (eV per cell) = -81.74

(6)
VASP calculation (PBE) on a relaxed structure of TmInBi.

The structure in POSCAR format:
```
TmInBi
1.0
7.3728 0.0000 0.0000
0.0000 7.3728 0.0000
0.0000 0.0000 7.3728
In Bi Tm
4 4 4
Cartesian
3.9912 3.9912 3.9912
7.0680 3.3816 0.3048
0.3048 7.0680 3.3816
3.3816 0.3048 7.0680
2.2287 2.2287 2.2287
1.4577 5.1441 5.9151
5.9151 1.4577 5.1441
5.1441 5.9151 1.4577
0.1352 0.1352 0.1352
3.5512 7.2376 3.8216
3.8216 3.5512 7.2376
7.2376 3.8216 3.5512
```

- V (A^3/atom) = 33.4
- polymorph energy (0 for the lowest one) (meV/atom) = 139
- symmetry = No. 198
- energy of formation (eV per formula unit) = -0.22
- final energy (eV per cell) = -45.26

(7)
VASP calculation (PBE) on a relaxed structure of UIn2Bi.

The structure in POSCAR format:
```
UIn2Bi
1.0
-0.0998 1.0877 4.2258
-1.4222 -4.1633 1.0380
5.9298 -0.0928 -2.0902
U In Bi
1 2 1
Cartesian
0.0000 0.0000 0.0000
1.8688 -2.8955 0.7894
2.5390 -0.2729 2.3843
-0.7610 -1.5378 2.6319
```

- V (A^3/atom) = 26.9
- polymorph energy (0 for the lowest one) (meV/atom) = 66
- symmetry = No. 71
- energy of formation (eV per formula unit) = 0.28
- final energy (eV per cell) = -20.37

(8)
VASP calculation (PBE) on a relaxed structure of UInBi2.

The structure in POSCAR format:
```
UInBi2
1.0
-2.4416 0.1224 3.5365
1.3717 -4.7540 1.1115
3.9423 1.7596 2.6609
U Bi In
1 2 1
Cartesian
1.4362 -1.4360 3.6545
1.9711 0.8798 1.3304
0.6858 -2.3770 0.5558
-1.2208 0.0612 1.7683
```

- V (A^3/atom) = 27.6
- polymorph energy (0 for the lowest one) (meV/atom) = 0
- symmetry = No. 123
- energy of formation (eV per formula unit) = 0.06
- final energy (eV per cell) = -21.73

(9)
VASP calculation (PBE) on a relaxed structure of UIn2Bi.

The structure in POSCAR format:
```
UIn2Bi
1.0
5.0197 0.0000 0.0000
0.0000 4.5741 0.0000
0.0000 0.0000 4.5741
U Bi In
1 1 2
Cartesian
2.5099 2.2871 2.2871
2.5099 0.0000 0.0000
0.0000 0.0000 2.2871
0.0000 2.2871 0.0000
```

- V (A^3/atom) = 26.3
- polymorph energy (0 for the lowest one) (meV/atom) = 0
- symmetry = No. 123
- energy of formation (eV per formula unit) = 0.01
- final energy (eV per cell) = -20.63

(10)
VASP calculation (PBE) on a relaxed structure of UInBi2.

The structure in POSCAR format:
```
UInBi2
1.0
-3.4479 -2.2883 1.1367
-0.0760 -4.2391 -0.6637
2.1180 -3.4097 7.6614
U Bi In
1 2 1
Cartesian
0.0000 0.0000 0.0000
-0.3807 -2.4733 1.9670
-1.0252 -7.4638 6.1674
-0.7030 -4.9686 4.0672
```

- V (A^3/atom) = 33.0
- polymorph energy (0 for the lowest one) (meV/atom) = 248
- symmetry = No. 166
- energy of formation (eV per formula unit) = 1.05
- final energy (eV per cell) = -20.74

(11)
VASP calculation (PBE) on a relaxed structure of UIn2Bi.

The structure in POSCAR format:
```
UIn2Bi
1.0
-3.6131 -3.5898 1.8945
1.0108 -5.3265 -0.3712
1.1141 -2.8726 4.4753
U Bi In
1 1 2
Cartesian
-0.7441 -5.8944 2.9993
0.0000 0.0000 0.0000
-0.3719 -2.9472 1.5000
-1.1164 -8.8416 4.4986
```

- V (A^3/atom) = 28.4
- polymorph energy (0 for the lowest one) (meV/atom) = 336
- symmetry = No. 225
- energy of formation (eV per formula unit) = 1.36
- final energy (eV per cell) = -19.29

(12)
VASP calculation (PBE) on a relaxed structure of UInBi3.

The structure in POSCAR format:
```
UInBi3
1.0
6.3415 0.0000 0.0000
0.0000 5.5283 0.0000
0.0000 0.0000 9.6761
U In Bi
2 2 6
Cartesian
3.1708 0.0000 0.0000
0.0000 0.0000 0.0000
1.5854 2.9693 4.8381
4.7561 2.5590 4.8381
1.5854 0.1978 6.7743
4.7561 2.7615 0.0000
1.5854 2.7667 0.0000
4.7561 5.3304 6.7743
1.5854 0.1978 2.9019
4.7561 5.3304 2.9019
```

- V (A^3/atom) = 33.9
- polymorph energy (0 for the lowest one) (meV/atom) = 53
- symmetry = No. 51
- energy of formation (eV per formula unit) = 0.73
- final energy (eV per cell) = -49.87

(13)
VASP calculation (PBE) on a relaxed structure of U2InBi5.

The structure in POSCAR format:
```
U2InBi5
1.0
4.4848 0.0000 0.0000
0.0000 8.0903 0.0000
0.0000 0.0000 13.2402
U In Bi
4 2 10
Cartesian
2.2424 5.2116 2.0934
2.2424 2.8786 11.1468
2.2424 6.9238 8.7134
2.2424 1.1665 4.5267
0.0000 4.0451 6.6201
0.0000 0.0000 0.0000
0.0000 0.0000 6.6201
0.0000 4.0451 0.0000
0.0000 7.4126 3.0051
0.0000 0.6777 10.2351
0.0000 4.7228 9.6252
0.0000 3.3674 3.6150
2.2424 5.8881 5.3867
2.2424 2.2022 7.8534
2.2424 6.2473 12.0068
2.2424 1.8429 1.2333
```

- V (A^3/atom) = 30.0
- symmetry = No. 55
- energy of formation (eV per formula unit) = 0.43
- final energy (eV per cell) = -88.57

(14)
VASP calculation (PBE) on a relaxed structure of U2InBi4.

The structure in POSCAR format:
```
U2InBi4
1.0
-0.9978 -4.8142 -0.4602
1.6715 0.2621 -6.3674
5.7817 -1.4657 2.7984
U Bi In
2 4 1
Cartesian
2.8076 -0.2155 -3.8339
3.6478 -5.8023 -0.1953
5.8553 -0.9455 -2.8039
1.5979 -0.2580 -0.7652
2.3919 -3.1399 1.1691
0.3369 -2.2760 -3.4138
3.2277 -3.0089 -2.0146
```

- V (A^3/atom) = 30.0
- symmetry = No. 65
- energy of formation (eV per formula unit) = 0.35
- final energy (eV per cell) = -40.49

(15)
VASP calculation (PBE) on a relaxed structure of UInBi2.

The structure in POSCAR format:
```
UInBi2
1.0
4.1414 0.0000 0.0000
0.0000 4.1414 0.0000
0.0000 0.0000 6.7348
U Bi In
1 2 1
Cartesian
2.0707 2.0707 0.0000
0.0000 0.0000 5.1325
0.0000 0.0000 1.6024
2.0707 2.0707 3.3674
```

- V (A^3/atom) = 28.9
- polymorph energy (0 for the lowest one) (meV/atom) = 10
- symmetry = No. 123
- energy of formation (eV per formula unit) = 0.10
- final energy (eV per cell) = -21.69

(16)
VASP calculation (PBE) on a relaxed structure of UInBi3.

The structure in POSCAR format:
```
UInBi3
1.0
-2.8616 -0.3333 -5.3766
-1.5945 -2.9247 2.8013
-4.9544 2.4198 3.0922
U In Bi
1 1 3
Cartesian
-2.8565 0.0033 -1.5653
-1.2727 -1.5267 1.1299
-4.5419 0.5095 1.3908
-7.4106 -0.9765 1.5951
-5.7158 -1.7025 -1.6007
```

- V (A^3/atom) = 29.4
- polymorph energy (0 for the lowest one) (meV/atom) = 0
- symmetry = No. 1
- energy of formation (eV per formula unit) = 0.47
- final energy (eV per cell) = -25.20

(17)
VASP calculation (PBE) on a relaxed structure of UInBi2.

The structure in POSCAR format:
```
UInBi2
1.0
-4.3061 -1.0943 1.8743
-0.3245 -3.2110 3.5829
-0.8414 3.5258 6.3286
U In Bi
1 1 2
Cartesian
-3.0838 -2.8474 3.6588
-2.7289 -0.3396 5.9385
-1.0038 2.3784 5.2856
-1.3914 -0.3606 2.7958
```

- V (A^3/atom) = 33.9
- polymorph energy (0 for the lowest one) (meV/atom) = 233
- symmetry = No. 160
- energy of formation (eV per formula unit) = 0.99
- final energy (eV per cell) = -20.80

(18)
VASP calculation (PBE) on a relaxed structure of VInBi3.

The structure in POSCAR format:
```
VInBi3
1.0
5.3489 0.0000 0.0000
0.0000 5.3489 0.0000
0.0000 0.0000 5.3489
In Bi V
1 3 1
Cartesian
2.6745 2.6745 2.6745
0.0000 2.6745 0.0000
0.0000 0.0000 2.6745
2.6745 0.0000 0.0000
0.0000 0.0000 0.0000
```

- V (A^3/atom) = 30.6
- polymorph energy (0 for the lowest one) (meV/atom) = 0
- symmetry = No. 221
- energy of formation (eV per formula unit) = 1.68
- final energy (eV per cell) = -21.82

(19)
VASP calculation (PBE) on a relaxed structure of VIn3Bi.

The structure in POSCAR format:
```
VIn3Bi
1.0
-1.8712 -5.5057 -0.0594
4.5459 -1.5802 3.2642
-3.1066 1.0039 4.8124
In Bi V
3 1 1
Cartesian
2.2729 -0.7901 1.6321
-1.5533 0.5019 2.4062
-0.9356 -2.7528 -0.0297
0.0000 0.0000 0.0000
-0.2159 -3.0410 4.0086
```

- V (A^3/atom) = 39.3
- symmetry = No. 221
- energy of formation (eV per formula unit) = 5.96
- final energy (eV per cell) = -15.25

(20)
VASP calculation (PBE) on a relaxed structure of VInBi2.

The structure in POSCAR format:
```
VInBi2
1.0
6.5126 0.0000 0.0000
0.0000 6.5126 0.0000
3.2563 3.2563 6.7832
In Bi V
2 4 2
Cartesian
0.0000 0.0000 0.0000
6.5126 3.2563 3.3916
4.6524 1.6281 1.6958
1.8602 4.8844 1.6958
4.8844 5.1165 5.0874
8.1407 7.9086 5.0874
3.2563 3.2563 0.0000
3.2563 6.5126 3.3916
```

- V (A^3/atom) = 36.0
- symmetry = No. 122
- energy of formation (eV per formula unit) = 1.84
- final energy (eV per cell) = -35.55